i) Here is an optimized crystal structure of YSnAuSe3 from OQMD via LeMat-Bulk. Energies are from GGA-PBE.

The structure belongs to space group P2_1/m (No. 11); the cell edges are 7.863, 4.057 and 9.995 Å and the angles 90.00°, 106.69° and 90.00°. The distinct sites, in fractional coordinates, are Y at (0.196, 0.250, 0.165), Sn at (0.230, 0.750, 0.701), Au at (0.395, 0.750, 0.403), Se at (0.076, 0.250, 0.865), Se at (0.196, 0.250, 0.461) and Se at (0.456, 0.750, 0.162).

ii) Here is an optimized crystal structure of YSnAuSe3 from OQMD via LeMat-Bulk. Energies are from GGA-PBE.

The structure belongs to space group Pnma (No. 62); the cell edges are 12.222, 4.190 and 12.733 Å and the angles 90.00°, 90.00° and 90.00°. The distinct sites, in fractional coordinates, are Y at (0.018, 0.250, 0.164), Sn at (0.179, 0.250, 0.565), Au at (0.202, 0.750, 0.397), Se at (0.016, 0.750, 0.320), Se at (0.100, 0.250, 0.947) and Se at (0.248, 0.750, 0.701).

iii) Here is an optimized crystal structure of YSnAuSe3 from OQMD via LeMat-Bulk. Energies are from GGA-PBE.

The structure belongs to space group Pnma (No. 62); the cell edges are 10.080, 4.203 and 15.473 Å and the angles 90.00°, 90.00° and 90.00°. The distinct sites, in fractional coordinates, are Y at (0.179, 0.250, 0.022), Sn at (0.036, 0.750, 0.289), Au at (0.242, 0.250, 0.328), Se at (0.025, 0.750, 0.106), Se at (0.147, 0.250, 0.475) and Se at (0.153, 0.750, 0.684).

iv) Here is an optimized crystal structure of YSnAuSe3 from OQMD via LeMat-Bulk. Energies are from GGA-PBE.

The structure belongs to space group C2/m (No. 12); the cell edges are 18.312, 4.032 and 8.462 Å and the angles 90.00°, 102.16° and 90.00°. The distinct sites, in fractional coordinates, are Y at (0.164, 0.000, 0.093), Sn at (0.128, 0.000, 0.579), Au at (0.047, 0.500, 0.219), Se at (0.000, 0.000, 0.000), Se at (0.000, 0.500, 0.500), Se at (0.174, 0.500, 0.854) and Se at (0.190, 0.500, 0.344).

Stability, descending: iii), ii), i), iv)

i) Here is an optimized crystal structure of ZrTlTeAuSe2 from OQMD via LeMat-Bulk. Energies are from GGA-PBE.

The structure belongs to space group P2_1/m (No. 11); the cell edges are 8.468, 4.020 and 10.282 Å and the angles 90.00°, 111.56° and 90.00°. The distinct sites, in fractional coordinates, are Zr at (0.190, 0.250, 0.168), Tl at (0.218, 0.750, 0.699), Te at (0.426, 0.750, 0.128), Au at (0.418, 0.750, 0.389), Se at (0.046, 0.250, 0.874) and Se at (0.228, 0.250, 0.438).

ii) Here is an optimized crystal structure of ZrTlTeAuSe2 from OQMD via LeMat-Bulk. Energies are from GGA-PBE.

The structure belongs to space group Cmcm (No. 63); the cell edges are 3.948, 15.323 and 10.786 Å and the angles 90.00°, 90.00° and 90.00°. The distinct sites, in fractional coordinates, are Zr at (0.000, 0.000, 0.000), Tl at (0.000, 0.223, 0.250), Te at (0.000, 0.087, 0.750), Au at (0.000, 0.457, 0.750) and Se at (0.000, 0.377, 0.539).

Stability, descending: i), ii)

i) Here is an optimized crystal structure of ZrTlAuSe3 from OQMD via LeMat-Bulk. Energies are from GGA-PBE.

The structure belongs to space group Cmcm (No. 63); the cell edges are 3.930, 14.691 and 10.412 Å and the angles 90.00°, 90.00° and 90.00°. The distinct sites, in fractional coordinates, are Zr at (0.000, 0.000, 0.000), Tl at (0.000, 0.241, 0.250), Au at (0.000, 0.451, 0.750), Se at (0.000, 0.074, 0.750) and Se at (0.000, 0.370, 0.532).

ii) Here is an optimized crystal structure of ZrTlAuSe3 from OQMD via LeMat-Bulk. Energies are from GGA-PBE.

The structure belongs to space group Pnma (No. 62); the cell edges are 14.574, 3.938 and 10.631 Å and the angles 90.00°, 90.00° and 90.00°. The distinct sites, in fractional coordinates, are Zr at (0.015, 0.250, 0.175), Tl at (0.231, 0.250, 0.453), Au at (0.021, 0.750, 0.402), Se at (0.090, 0.250, 0.933), Se at (0.106, 0.750, 0.639) and Se at (0.142, 0.750, 0.226).

Stability, descending: ii), i)

i) Here is an optimized crystal structure of TbSm2Zn2Si4Au2 from OQMD via LeMat-Bulk. Energies are from GGA-PBE.

The structure belongs to space group Immm (No. 71); the cell edges are 4.096, 4.237 and 25.078 Å and the angles 90.00°, 90.00° and 90.00°. The distinct sites, in fractional coordinates, are Tb at (0.000, 0.000, 0.000), Sm at (0.000, 0.500, 0.147), Zn at (0.000, 0.000, 0.251), Si at (0.000, 0.000, 0.453), Si at (0.000, 0.500, 0.308) and Au at (0.000, 0.500, 0.406).

ii) Here is an optimized crystal structure of TbSm2Zn2Si4Au2 from OQMD via LeMat-Bulk. Energies are from GGA-PBE.

The structure belongs to space group Immm (No. 71); the cell edges are 4.178, 4.196 and 24.726 Å and the angles 90.00°, 90.00° and 90.00°. The distinct sites, in fractional coordinates, are Tb at (0.000, 0.000, 0.000), Sm at (0.000, 0.500, 0.144), Zn at (0.000, 0.500, 0.407), Si at (0.000, 0.000, 0.453), Si at (0.000, 0.500, 0.311) and Au at (0.000, 0.000, 0.251).

Stability, descending: i), ii)

i) Here is an optimized crystal structure of TbY2Zn2Si4Au2 from OQMD via LeMat-Bulk. Energies are from GGA-PBE.

The structure belongs to space group Immm (No. 71); the cell edges are 4.042, 4.200 and 25.066 Å and the angles 90.00°, 90.00° and 90.00°. The distinct sites, in fractional coordinates, are Tb at (0.000, 0.000, 0.000), Y at (0.000, 0.500, 0.146), Zn at (0.000, 0.000, 0.251), Si at (0.000, 0.000, 0.453), Si at (0.000, 0.500, 0.308) and Au at (0.000, 0.500, 0.405).

ii) Here is an optimized crystal structure of TbY2Zn2Si4Au2 from OQMD via LeMat-Bulk. Energies are from GGA-PBE.

The structure belongs to space group Immm (No. 71); the cell edges are 4.127, 4.168 and 24.607 Å and the angles 90.00°, 90.00° and 90.00°. The distinct sites, in fractional coordinates, are Tb at (0.000, 0.000, 0.000), Y at (0.000, 0.500, 0.144), Zn at (0.000, 0.500, 0.407), Si at (0.000, 0.000, 0.453), Si at (0.000, 0.500, 0.312) and Au at (0.000, 0.000, 0.251).

Stability, descending: i), ii)

i) Here is an optimized crystal structure of Tb2YZn2Si4Au2 from OQMD via LeMat-Bulk. Energies are from GGA-PBE.

The structure belongs to space group Immm (No. 71); the cell edges are 4.128, 4.169 and 24.595 Å and the angles 90.00°, 90.00° and 90.00°. The distinct sites, in fractional coordinates, are Tb at (0.000, 0.000, 0.144), Y at (0.000, 0.500, 0.000), Zn at (0.000, 0.000, 0.407), Si at (0.000, 0.000, 0.312), Si at (0.000, 0.500, 0.453) and Au at (0.000, 0.500, 0.251).

ii) Here is an optimized crystal structure of Tb2YZn2Si4Au2 from OQMD via LeMat-Bulk. Energies are from GGA-PBE.

The structure belongs to space group Immm (No. 71); the cell edges are 4.039, 4.204 and 25.046 Å and the angles 90.00°, 90.00° and 90.00°. The distinct sites, in fractional coordinates, are Tb at (0.000, 0.000, 0.146), Y at (0.000, 0.500, 0.000), Zn at (0.000, 0.500, 0.251), Si at (0.000, 0.000, 0.308), Si at (0.000, 0.500, 0.453) and Au at (0.000, 0.000, 0.405).

Stability, descending: ii), i)

i) Here is an optimized crystal structure of SiTe2Au2 from OQMD via LeMat-Bulk. Energies are from GGA-PBE.

The structure belongs to space group I4/mmm (No. 139); the cell edges are 4.549, 4.549 and 12.472 Å and the angles 90.00°, 90.00° and 90.00°. The distinct sites, in fractional coordinates, are Si at (0.000, 0.000, 0.000), Te at (0.000, 0.500, 0.250) and Au at (0.000, 0.000, 0.395).

ii) Here is an optimized crystal structure of SiTe2Au2 from OQMD via LeMat-Bulk. Energies are from GGA-PBE.

The structure belongs to space group I4/mmm (No. 139); the cell edges are 4.074, 4.074 and 13.984 Å and the angles 90.00°, 90.00° and 90.00°. The distinct sites, in fractional coordinates, are Si at (0.000, 0.000, 0.000), Te at (0.000, 0.000, 0.393) and Au at (0.000, 0.500, 0.250).

Stability, descending: ii), i)

i) Here is an optimized crystal structure of Si2TeAu2 from OQMD via LeMat-Bulk. Energies are from GGA-PBE.

The structure belongs to space group I4/mmm (No. 139); the cell edges are 4.286, 4.286 and 10.994 Å and the angles 90.00°, 90.00° and 90.00°. The distinct sites, in fractional coordinates, are Si at (0.000, 0.000, 0.112), Te at (0.000, 0.000, 0.500) and Au at (0.000, 0.500, 0.250).

ii) Here is an optimized crystal structure of Si2TeAu2 from OQMD via LeMat-Bulk. Energies are from GGA-PBE.

The structure belongs to space group I4/mmm (No. 139); the cell edges are 4.206, 4.206 and 11.540 Å and the angles 90.00°, 90.00° and 90.00°. The distinct sites, in fractional coordinates, are Si at (0.000, 0.500, 0.250), Te at (0.000, 0.000, 0.000) and Au at (0.000, 0.000, 0.379).

Stability, descending: ii), i)

i) Here is an optimized crystal structure of SiTeAu from OQMD via LeMat-Bulk. Energies are from GGA-PBE.

The structure belongs to space group Pnma (No. 62); the cell edges are 9.179, 3.743 and 8.286 Å and the angles 90.00°, 90.00° and 90.00°. The distinct sites, in fractional coordinates, are Si at (0.115, 0.250, 0.058), Te at (0.181, 0.250, 0.501) and Au at (0.018, 0.250, 0.780).

ii) Here is an optimized crystal structure of SiTeAu from OQMD via LeMat-Bulk. Energies are from GGA-PBE.

The structure belongs to space group Pnma (No. 62); the cell edges are 6.365, 4.220 and 12.118 Å and the angles 90.00°, 90.00° and 90.00°. The distinct sites, in fractional coordinates, are Si at (0.152, 0.250, 0.154), Te at (0.054, 0.250, 0.358) and Au at (0.051, 0.750, 0.070).

Stability, descending: ii), i)